(1)
# Cr2CdOs2

Cr2CdOs2 after structural relaxation (GGA-PBE, Alexandria via LeMat-Bulk).

uncorrected energy	-8.21	eV/atom
total magnetic moment	0.00	μB/f.u.
energy relative to the lowest polymorph listed for this composition	0.034	eV/atom

Cell: 7.3843 7.3843 2.7307 Å, 90.00 90.00 90.00°
With the nearest neighbours (Å) after each atom.
Space group P4/mbm (No. 127)
Asymmetric unit:
1 Cr 0.1342 0.3658 0.0000 x4  6 Os 2.51-2.62, 3 Cr 2.73-2.80
2 Cd 0.0000 0.0000 0.0000 x2  2 Cd 2.73, 4 Cr 2.88
3 Os 0.1512 0.6512 0.5000 x4  6 Cr 2.51-2.62, 2 Os 2.73

(2)
# Cr2CdOs

Cr2CdOs after structural relaxation (GGA-PBE, Alexandria via LeMat-Bulk).

uncorrected energy	-7.42	eV/atom
total magnetic moment	0.74	μB/f.u.

Cell: 2.8044 3.6265 5.9067 Å, 90.00 90.00 90.00°
With the nearest neighbours (Å) after each atom.
Space group Pmm2 (No. 25)
Asymmetric unit:
1 Cr 0.0000 0.0000 0.0000 x1  1 Os 2.35, 4 Cr 2.59
2 Cr 0.5000 0.5000 0.2028 x1  4 Os 2.57, 6 Cr 2.59-2.80
3 Cd 0.5000 0.5000 0.7080 x1  2 Cd 2.80, 6 Cr 2.87-2.98, 4 Os 2.93
4 Os 0.0000 0.0000 0.3980 x1  5 Cr 2.35-2.57

(3)
# Cr2CdOs

Cr2CdOs after structural relaxation (GGA-PBE, Alexandria via LeMat-Bulk).

uncorrected energy	-7.46	eV/atom
total magnetic moment	0.00	μB/f.u.

Cell: 2.7963 2.7963 26.0021 Å, 90.00 90.00 120.00°
With the nearest neighbours (Å) after each atom.
Space group R3m (No. 160, hexagonal axes)
Asymmetric unit:
1 Cr 0.0000 0.0000 0.0000 x3  3 Cr 2.29
2 Cr 0.0000 0.0000 0.2711 x3  3 Cr 2.29
3 Cd 0.0000 0.0000 0.7622 x3  6 Cd 2.80, 3 Cr 2.96, 3 Os 3.01
4 Os 0.0000 0.0000 0.5264 x3  3 Cr 2.59, 6 Os 2.80

(4)
# Cr2CdOs

Cr2CdOs after structural relaxation (GGA-PBE, Alexandria via LeMat-Bulk).

uncorrected energy	-7.41	eV/atom
total magnetic moment	0.00	μB/f.u.

Cell: 2.7146 2.7146 27.3110 Å, 90.00 90.00 120.00°
With the nearest neighbours (Å) after each atom.
Space group R-3m (No. 166, hexagonal axes)
Asymmetric unit:
1 Cr 0.0000 0.0000 0.2435 x6  3 Os 2.62, 6 Cr 2.71, 3 Cd 2.91
2 Cd 0.0000 0.0000 0.0000 x3  6 Cd 2.71, 6 Cr 2.91
3 Os 0.0000 0.0000 0.5000 x3  6 Cr 2.62, 6 Os 2.71

Calculated formation enthalpy at 0 K, 316; 430; 390; 434 meV/atom (same order as the records).